1.
Below is a relaxed structure of ZrFeAg2, with properties calculated at the PBE level.

Cell: 6.5423 6.5423 6.5423 Å, 90.00 90.00 90.00°
Last column: nearest neighbours and their distance in Å.
Space group F-43m (No. 216)
One atom of each set of equivalent atoms:
Zr 0.0000 0.0000 0.0000  4 Ag 2.83, 4 Fe 2.83
Fe 0.2500 0.2500 0.2500  4 Zr 2.83, 4 Ag 2.83
Ag 0.0000 0.0000 0.5000  4 Fe 2.83, 4 Ag 2.83
Ag 0.2500 0.2500 0.7500  4 Zr 2.83, 4 Ag 2.83

Properties
energy above the lowest structure with this stoichiometry: 105.0 meV per atom
Fermi-level density of states: 6.0 states/eV/f.u.



2.
Below is a relaxed structure of ZrFeAg4, with properties calculated at the PBE level.

Cell: 7.6400 7.6400 7.6400 Å, 90.00 90.00 90.00°
Last column: nearest neighbours and their distance in Å.
Space group F-43m (No. 216)
One atom of each set of equivalent atoms:
Zr 0.0000 0.0000 0.0000  12 Ag 3.17, 4 Fe 3.31
Fe 0.2500 0.2500 0.2500  12 Ag 3.17, 4 Zr 3.31
Ag 0.1247 0.1247 0.6247  6 Ag 2.69-2.71

Properties
Fermi-level density of states: 10.7 states/eV/f.u.



Calculated calculated formation energy, 0.22 0.36 eV per atom (same order as the records).